No. 1
Ta2CrHgRu: optimized geometry, GGA-PBE.

abc: 4.9910 4.7197 4.9910
angles: 90.00 90.00 90.00
Last column: nearest neighbours and their distance in Å.
Element x y z (fractional)
Ta 0.5000 0.0000 0.0000  2 Hg 2.50
Ta 0.0000 0.0000 0.5000  2 Hg 2.50
Ru 0.5000 0.5000 0.5000  8 Ta 3.43, 4 Cr 3.53
Hg 0.0000 0.0000 0.0000  2 Cr 2.36, 4 Ta 2.50
Cr 0.0000 0.5000 0.0000  2 Hg 2.36

Properties
Electronic total energy, eV per atom: -6.24
Space group: P4/mmm (123)
Distance to the lowest polymorph of the same formula, meV/atom: 1372

---

No. 2
Ta2CrHgRu: optimized geometry, GGA-PBE.

abc: 4.6485 4.4298 4.6485
angles: 90.00 90.00 90.00
Last column: nearest neighbours and their distance in Å.
Element x y z (fractional)
Ru 0.0000 0.5000 0.0000  2 Cr 2.21
Cr 0.0000 0.0000 0.0000  2 Ru 2.21, 4 Ta 2.32
Hg 0.5000 0.5000 0.5000  8 Ta 3.21, 4 Ru 3.29
Ta 0.5000 0.0000 0.0000  2 Cr 2.32
Ta 0.0000 0.0000 0.5000  2 Cr 2.32

Properties
Electronic total energy, eV per atom: -7.61
Space group: P4/mmm (123)
Distance to the lowest polymorph of the same formula, meV/atom: 0

---

Number 1: formation energy 2.34 eV/atom. Number 2: formation energy 0.97 eV/atom.